MgCd2Tc2 after structural relaxation. Source: the Alexandria database, functional PBE-GGA.

a b c (Å): 3.5766 3.5766 15.2793
angles (deg): 90.00 90.00 90.00
With the nearest neighbours (Å) after each atom.
Space group I4/mmm (No. 139)
Inequivalent atoms, fractional coordinates:
Mg: 0.0000 0.0000 0.0000  8 Cd 2.96
Cd: 0.0000 0.0000 0.3996  4 Tc 2.90, 4 Mg 2.96, 1 Cd 3.07
Tc: 0.0000 0.5000 0.2500  4 Tc 2.53

Calculated values
final energy = -4.38 eV/atom
energy of formation from the pure elements = 453 meV/atom
M_tot = 0.00 μB/cell
D(E_F) = 0.731 states/eV/atom

MgCdTc2 after structural relaxation. Source: the Alexandria database, functional PBE-GGA.

a b c (Å): 2.6990 2.6990 9.1216
angles (deg): 90.00 90.00 90.00
With the nearest neighbours (Å) after each atom.
Space group P4/mmm (No. 123)
Inequivalent atoms, fractional coordinates:
Mg: 0.0000 0.0000 0.0000  4 Mg 2.70, 8 Tc 2.93
Cd: 0.0000 0.0000 0.5000  4 Cd 2.70, 8 Tc 3.01
Tc: 0.5000 0.5000 0.2443  4 Tc 2.70, 4 Mg 2.93, 4 Cd 3.01

Calculated values
final energy = -5.38 eV/atom
energy of formation from the pure elements = 430 meV/atom
M_tot = 0.00 μB/cell
D(E_F) = 0.967 states/eV/atom
energy above the most stable polymorph in this dataset = 0.4032 eV per atom

MgCdTc2 after structural relaxation. Source: the Alexandria database, functional PBE-GGA.

a b c (Å): 6.4826 6.4826 6.4826
angles (deg): 90.00 90.00 90.00
With the nearest neighbours (Å) after each atom.
Space group Fm-3m (No. 225)
Inequivalent atoms, fractional coordinates:
Mg: 0.0000 0.0000 0.0000  8 Tc 2.81
Cd: 0.0000 0.0000 0.5000  8 Tc 2.81
Tc: 0.2500 0.2500 0.2500  4 Cd 2.81, 4 Mg 2.81

Calculated values
final energy = -5.13 eV/atom
energy of formation from the pure elements = 680 meV/atom
M_tot = 12.70 μB/cell
D(E_F) = 1.232 states/eV/atom
energy above the most stable polymorph in this dataset = 0.6532 eV per atom

MgCdTc2 after structural relaxation. Source: the Alexandria database, functional PBE-GGA.

a b c (Å): 3.0555 3.0555 7.3722
angles (deg): 90.00 90.00 90.00
With the nearest neighbours (Å) after each atom.
Space group P4mm (No. 99)
Inequivalent atoms, fractional coordinates:
Mg: 0.0000 0.0000 0.0000  4 Tc 2.83, 4 Cd 3.05, 4 Mg 3.06
Cd: 0.5000 0.5000 0.7085  4 Tc 2.96, 4 Mg 3.05, 4 Cd 3.06
Tc: 0.0000 0.0000 0.4341  4 Tc 2.56
Tc: 0.5000 0.5000 0.2480  4 Tc 2.56, 4 Mg 2.83

Calculated values
final energy = -5.78 eV/atom
energy of formation from the pure elements = 27 meV/atom
M_tot = 0.00 μB/cell
D(E_F) = 0.283 states/eV/atom
energy above the most stable polymorph in this dataset = 0.0000 eV per atom